Record 1
Compound: BeAlTc2Ni
Source: Alexandria
Functional: PBE
Structure: optimized geometry

Unit cell a=4.1738 b=4.1738 c=3.8366 alpha=90.00 beta=90.00 gamma=90.00
With the nearest neighbours (Å) after each atom.
Sites, in units of the cell vectors:
Be 0.0000 0.0000 0.0000  2 Ni 1.92, 4 Tc 2.09
Al 0.5000 0.5000 0.5000  8 Tc 2.83, 4 Ni 2.95
Tc 0.0000 0.5000 0.0000  2 Be 2.09
Tc 0.5000 0.0000 0.0000  2 Be 2.09
Ni 0.0000 0.0000 0.5000  2 Be 1.92

As for the formation enthalpy at 0 K: 0.3366 eV per atom. Its density is 7.2 g/cm3. The space group is P4/mmm (123). The total energy is -0.2374 hartree per atom.


Record 2
Compound: LiZrPa2O8
Source: Alexandria
Functional: PBE
Structure: optimized geometry

Unit cell a=4.8911 b=4.8911 c=7.1249 alpha=90.00 beta=90.00 gamma=90.26
With the nearest neighbours (Å) after each atom.
Sites, in units of the cell vectors:
Li 0.0000 0.0000 0.0000  6 O 2.16-2.36
Zr 0.0000 0.0000 0.5000  6 O 2.11-2.13
Pa 0.5000 0.5000 0.2444  6 O 2.09-2.27
Pa 0.5000 0.5000 0.7556  6 O 2.09-2.27
O 0.1977 0.1977 0.2698  1 Pa 2.09, 1 Zr 2.13
O 0.1977 0.1977 0.7302  1 Pa 2.09, 1 Zr 2.13
O 0.3048 0.6952 0.5000  1 Zr 2.11, 2 Pa 2.27
O 0.3117 0.6883 0.0000  1 Li 2.16, 2 Pa 2.18
O 0.6883 0.3117 0.0000  1 Li 2.16, 2 Pa 2.18
O 0.6952 0.3048 0.5000  1 Zr 2.11, 2 Pa 2.27
O 0.8023 0.8023 0.2698  1 Pa 2.09, 1 Zr 2.13
O 0.8023 0.8023 0.7302  1 Pa 2.09, 1 Zr 2.13

The uncorrected formation energy is -3.0702 eV/atom. Its density is 6.7 g/cm3. The space group is Cmmm (65). The total energy is -0.3245 hartree per atom.


Record 3
Compound: Rb3ZnCu
Source: Alexandria
Functional: PBE
Structure: optimized geometry

Unit cell a=6.6251 b=6.6251 c=6.6251 alpha=90.00 beta=90.00 gamma=90.00
With the nearest neighbours (Å) after each atom.
Sites, in units of the cell vectors:
Rb 0.0000 0.0000 0.5000  2 Cu 3.31
Rb 0.0000 0.5000 0.0000  2 Cu 3.31
Rb 0.5000 0.0000 0.0000  2 Cu 3.31
Zn 0.5000 0.5000 0.5000  12 Rb 4.68
Cu 0.0000 0.0000 0.0000  6 Rb 3.31

As for the formation enthalpy at 0 K: 0.3929 eV per atom. Its density is 2.2 g/cm3. Its energy above the most stable polymorph in this dataset is 0.0 meV per atom. The space group is Pm-3m (221). The total energy is -0.0464 hartree per atom.


Record 4
Compound: LiInSnPb
Source: Alexandria
Functional: PBE
Structure: optimized geometry

Unit cell a=4.5359 b=4.6646 c=4.8150 alpha=90.00 beta=90.00 gamma=90.00
With the nearest neighbours (Å) after each atom.
Sites, in units of the cell vectors:
Li 0.0000 0.0000 0.0000  4 Pb 3.25, 4 Sn 3.31, 4 In 3.35
In 0.0000 0.5000 0.5000  4 Sn 3.25, 4 Pb 3.31, 4 Li 3.35
Sn 0.5000 0.0000 0.5000  4 In 3.25, 4 Li 3.31, 4 Pb 3.35
Pb 0.5000 0.5000 0.0000  4 Li 3.25, 4 In 3.31, 4 Sn 3.35

As for the formation enthalpy at 0 K: -0.1341 eV per atom. Its density is 7.3 g/cm3. Its energy above the most stable polymorph in this dataset is 0.0 meV per atom. The space group is Pmmm (47). The total energy is -0.1185 hartree per atom.


Record 5
Compound: KTl2Br
Source: Alexandria
Functional: PBE
Structure: optimized geometry

Unit cell a=6.0188 b=6.0188 c=6.9326 alpha=111.72 beta=111.72 gamma=39.93
With the nearest neighbours (Å) after each atom.
Sites, in units of the cell vectors:
K 0.0000 0.0000 0.0000  3 Br 3.20-3.21
Tl 0.5284 0.5284 0.5128  3 Tl 3.20-3.29, 1 Br 3.49
Tl 0.7856 0.7856 0.4259  3 Tl 3.20-3.29, 2 Br 3.54
Br 0.2860 0.2860 0.0096  3 K 3.20-3.21, 3 Tl 3.49-3.54

The uncorrected formation energy is -0.5341 eV/atom. Its density is 5.9 g/cm3. Its energy above the most stable polymorph in this dataset is 81.2 meV per atom. The space group is Cm (8). The total energy is -0.0886 hartree per atom.


Record 6
Compound: HfZr2CuB
Source: Alexandria
Functional: PBE
Structure: optimized geometry

Unit cell a=5.0767 b=5.0767 c=3.7233 alpha=90.00 beta=90.00 gamma=90.00
With the nearest neighbours (Å) after each atom.
Sites, in units of the cell vectors:
Hf 0.0000 0.0000 0.0000  8 Zr 3.15
Zr 0.0000 0.5000 0.5000  2 Cu 2.54
Zr 0.5000 0.0000 0.5000  2 Cu 2.54
Cu 0.5000 0.5000 0.5000  2 B 1.86
B 0.5000 0.5000 0.0000  2 Cu 1.86

As for the formation enthalpy at 0 K: 0.6454 eV per atom. Its density is 7.5 g/cm3. The space group is P4/mmm (123). The total energy is -0.2543 hartree per atom.